# GGA-PBE BaSc2Be, optimized geometry
# Energy of formation from the pure elements: 0.662 eV per atom
# Space group: C2/m (12)
data_BaSc2Be
_space_group_name_H-M_alt 'P 1'
_space_group_IT_number 1
_cell_length_a 6.541
_cell_length_b 6.541
_cell_length_c 3.332
_cell_angle_alpha 104.70
_cell_angle_beta 104.70
_cell_angle_gamma 120.22
loop_
_space_group_symop_operation_xyz
'x,y,z'
loop_
_atom_site_label
_atom_site_type_symbol
_atom_site_fract_x
_atom_site_fract_y
_atom_site_fract_z
_atom_site_occupancy
Ba1 Ba 0.000 0.000 0.000 1
Sc1 Sc 0.000 0.500 0.500 1
Sc2 Sc 0.500 0.000 0.500 1
Be1 Be 0.500 0.500 0.000 1

***

# GGA-PBE ErH2Pd, optimized geometry
# Space group: R-3m (166)
# Raw total energy: -0.171 Ha/atom
data_ErH2Pd
_space_group_name_H-M_alt 'P 1'
_space_group_IT_number 1
_cell_length_a 4.605
_cell_length_b 4.605
_cell_length_c 4.605
_cell_angle_alpha 49.95
_cell_angle_beta 49.95
_cell_angle_gamma 49.95
loop_
_space_group_symop_operation_xyz
'x,y,z'
loop_
_atom_site_label
_atom_site_type_symbol
_atom_site_fract_x
_atom_site_fract_y
_atom_site_fract_z
_atom_site_occupancy
Er1 Er 0.000 0.000 0.000 1
H1 H 0.360 0.360 0.360 1
H2 H 0.640 0.640 0.640 1
Pd1 Pd 0.500 0.500 0.500 1

***

# GGA-PBE InBC3, optimized geometry
# Energy of formation from the pure elements: 4.085 eV per atom
# Energy relative to the lowest polymorph listed for this composition: 1685 meV/atom
# Space group: Pm-3m (221)
data_InBC3
_space_group_name_H-M_alt 'P 1'
_space_group_IT_number 1
_cell_length_a 4.359
_cell_length_b 4.359
_cell_length_c 4.359
_cell_angle_alpha 90.00
_cell_angle_beta 90.00
_cell_angle_gamma 90.00
loop_
_space_group_symop_operation_xyz
'x,y,z'
loop_
_atom_site_label
_atom_site_type_symbol
_atom_site_fract_x
_atom_site_fract_y
_atom_site_fract_z
_atom_site_occupancy
In1 In 0.000 0.000 0.000 1
B1 B 0.500 0.500 0.500 1
C1 C 0.000 0.000 0.500 1
C2 C 0.000 0.500 0.000 1
C3 C 0.500 0.000 0.000 1

***

# GGA-PBE CsAc2PaS5, optimized geometry
# ΔE_f (raw): -1820 meV/atom
# Space group: Immm (71)
data_CsAc2PaS5
_space_group_name_H-M_alt 'P 1'
_space_group_IT_number 1
_cell_length_a 8.533
_cell_length_b 8.533
_cell_length_c 8.533
_cell_angle_alpha 144.83
_cell_angle_beta 127.17
_cell_angle_gamma 65.06
loop_
_space_group_symop_operation_xyz
'x,y,z'
loop_
_atom_site_label
_atom_site_type_symbol
_atom_site_fract_x
_atom_site_fract_y
_atom_site_fract_z
_atom_site_occupancy
Cs1 Cs 0.000 0.000 0.000 1
Ac1 Ac 0.295 0.795 0.500 1
Ac2 Ac 0.705 0.205 0.500 1
Pa1 Pa 0.500 0.500 0.000 1
S1 S 0.124 0.354 0.770 1
S2 S 0.416 0.646 0.770 1
S3 S 0.500 0.000 0.500 1
S4 S 0.584 0.354 0.230 1
S5 S 0.876 0.646 0.230 1

***

# GGA-PBE Ac5Ga2Ni, optimized geometry
# Energy of formation from the pure elements: -0.305 eV per atom
# Space group: Pnma (62)
data_Ac5Ga2Ni
_space_group_name_H-M_alt 'P 1'
_space_group_IT_number 1
_cell_length_a 13.104
_cell_length_b 9.440
_cell_length_c 8.563
_cell_angle_alpha 90.00
_cell_angle_beta 90.00
_cell_angle_gamma 90.00
loop_
_space_group_symop_operation_xyz
'x,y,z'
loop_
_atom_site_label
_atom_site_type_symbol
_atom_site_fract_x
_atom_site_fract_y
_atom_site_fract_z
_atom_site_occupancy
Ac1 Ac 0.003 0.250 0.044 1
Ac2 Ac 0.082 0.536 0.325 1
Ac3 Ac 0.082 0.964 0.325 1
Ac4 Ac 0.190 0.250 0.641 1
Ac5 Ac 0.211 0.750 0.674 1
Ac6 Ac 0.289 0.250 0.174 1
Ac7 Ac 0.310 0.750 0.141 1
Ac8 Ac 0.418 0.036 0.825 1
Ac9 Ac 0.418 0.464 0.825 1
Ac10 Ac 0.497 0.750 0.544 1
Ac11 Ac 0.503 0.250 0.456 1
Ac12 Ac 0.582 0.536 0.175 1
Ac13 Ac 0.582 0.964 0.175 1
Ac14 Ac 0.690 0.250 0.859 1
Ac15 Ac 0.711 0.750 0.826 1
Ac16 Ac 0.789 0.250 0.326 1
Ac17 Ac 0.810 0.750 0.359 1
Ac18 Ac 0.918 0.036 0.675 1
Ac19 Ac 0.918 0.464 0.675 1
Ac20 Ac 0.997 0.750 0.956 1
Ga1 Ga 0.171 0.006 0.942 1
Ga2 Ga 0.171 0.494 0.942 1
Ga3 Ga 0.329 0.506 0.442 1
Ga4 Ga 0.329 0.994 0.442 1
Ga5 Ga 0.671 0.006 0.558 1
Ga6 Ga 0.671 0.494 0.558 1
Ga7 Ga 0.829 0.506 0.058 1
Ga8 Ga 0.829 0.994 0.058 1
Ni1 Ni 0.009 0.250 0.423 1
Ni2 Ni 0.491 0.750 0.923 1
Ni3 Ni 0.509 0.250 0.077 1
Ni4 Ni 0.991 0.750 0.577 1

***

# GGA-PBE YThMg, optimized geometry
# Energy of formation from the pure elements: 0.217 eV per atom
# Energy relative to the lowest polymorph listed for this composition: 250 meV/atom
# Space group: R-3m (166)
data_YThMg
_space_group_name_H-M_alt 'P 1'
_space_group_IT_number 1
_cell_length_a 8.089
_cell_length_b 8.089
_cell_length_c 8.089
_cell_angle_alpha 38.53
_cell_angle_beta 38.53
_cell_angle_gamma 38.53
loop_
_space_group_symop_operation_xyz
'x,y,z'
loop_
_atom_site_label
_atom_site_type_symbol
_atom_site_fract_x
_atom_site_fract_y
_atom_site_fract_z
_atom_site_occupancy
Y1 Y 0.128 0.128 0.128 1
Y2 Y 0.872 0.872 0.872 1
Th1 Th 0.293 0.293 0.293 1
Th2 Th 0.707 0.707 0.707 1
Mg1 Mg 0.437 0.437 0.437 1
Mg2 Mg 0.563 0.563 0.563 1

***

# GGA-PBE SmMg2Tl2, optimized geometry
# Energy of formation from the pure elements: -0.162 eV per atom
# Energy relative to the lowest polymorph listed for this composition: 0 meV/atom
# Space group: I4/mmm (139)
data_SmMg2Tl2
_space_group_name_H-M_alt 'P 1'
_space_group_IT_number 1
_cell_length_a 7.188
_cell_length_b 7.188
_cell_length_c 7.188
_cell_angle_alpha 143.36
_cell_angle_beta 143.36
_cell_angle_gamma 52.79
loop_
_space_group_symop_operation_xyz
'x,y,z'
loop_
_atom_site_label
_atom_site_type_symbol
_atom_site_fract_x
_atom_site_fract_y
_atom_site_fract_z
_atom_site_occupancy
Sm1 Sm 0.000 0.000 0.000 1
Mg1 Mg 0.250 0.750 0.500 1
Mg2 Mg 0.750 0.250 0.500 1
Tl1 Tl 0.389 0.389 0.000 1
Tl2 Tl 0.611 0.611 0.000 1

***

# GGA-PBE TiSn2P, optimized geometry
# Energy of formation from the pure elements: 0.219 eV per atom
# Space group: I-42d (122)
data_TiSn2P
_space_group_name_H-M_alt 'P 1'
_space_group_IT_number 1
_cell_length_a 6.193
_cell_length_b 6.193
_cell_length_c 6.193
_cell_angle_alpha 102.54
_cell_angle_beta 102.54
_cell_angle_gamma 124.46
loop_
_space_group_symop_operation_xyz
'x,y,z'
loop_
_atom_site_label
_atom_site_type_symbol
_atom_site_fract_x
_atom_site_fract_y
_atom_site_fract_z
_atom_site_occupancy
Ti1 Ti 0.000 0.000 0.000 1
Ti2 Ti 0.750 0.250 0.500 1
Sn1 Sn 0.142 0.625 0.017 1
Sn2 Sn 0.375 0.392 0.517 1
Sn3 Sn 0.608 0.125 0.983 1
Sn4 Sn 0.875 0.858 0.483 1
P1 P 0.250 0.750 0.500 1
P2 P 0.500 0.500 0.000 1

***

# GGA-PBE La12TbPr3, optimized geometry
# Energy of formation from the pure elements: 0.005 eV per atom
# Space group: P4/mmm (123)
data_La12TbPr3
_space_group_name_H-M_alt 'P 1'
_space_group_IT_number 1
_cell_length_a 5.246
_cell_length_b 5.246
_cell_length_c 21.011
_cell_angle_alpha 90.00
_cell_angle_beta 90.00
_cell_angle_gamma 90.00
loop_
_space_group_symop_operation_xyz
'x,y,z'
loop_
_atom_site_label
_atom_site_type_symbol
_atom_site_fract_x
_atom_site_fract_y
_atom_site_fract_z
_atom_site_occupancy
La1 La 0.000 0.000 0.000 1
La2 La 0.000 0.000 0.249 1
La3 La 0.000 0.000 0.500 1
La4 La 0.000 0.000 0.751 1
La5 La 0.000 0.500 0.123 1
La6 La 0.000 0.500 0.374 1
La7 La 0.000 0.500 0.626 1
La8 La 0.000 0.500 0.877 1
La9 La 0.500 0.000 0.123 1
La10 La 0.500 0.000 0.374 1
La11 La 0.500 0.000 0.626 1
La12 La 0.500 0.000 0.877 1
Tb1 Tb 0.500 0.500 0.000 1
Pr1 Pr 0.500 0.500 0.249 1
Pr2 Pr 0.500 0.500 0.500 1
Pr3 Pr 0.500 0.500 0.751 1

***

# GGA-PBE Pm8C3Br3O, optimized geometry
# ΔE_f (raw): -1038 meV/atom
# Space group: C2/m (12)
data_Pm8C3Br3O
_space_group_name_H-M_alt 'P 1'
_space_group_IT_number 1
_cell_length_a 7.528
_cell_length_b 7.528
_cell_length_c 8.373
_cell_angle_alpha 116.67
_cell_angle_beta 116.67
_cell_angle_gamma 60.06
loop_
_space_group_symop_operation_xyz
'x,y,z'
loop_
_atom_site_label
_atom_site_type_symbol
_atom_site_fract_x
_atom_site_fract_y
_atom_site_fract_z
_atom_site_occupancy
Pm1 Pm 0.223 0.733 0.689 1
Pm2 Pm 0.229 0.229 0.688 1
Pm3 Pm 0.267 0.267 0.311 1
Pm4 Pm 0.267 0.777 0.311 1
Pm5 Pm 0.733 0.223 0.689 1
Pm6 Pm 0.733 0.733 0.689 1
Pm7 Pm 0.771 0.771 0.312 1
Pm8 Pm 0.777 0.267 0.311 1
C1 C 0.000 0.000 0.500 1
C2 C 0.000 0.500 0.500 1
C3 C 0.500 0.000 0.500 1
Br1 Br 0.000 0.500 0.000 1
Br2 Br 0.500 0.000 0.000 1
Br3 Br 0.500 0.500 0.000 1
O1 O 0.500 0.500 0.500 1

***

# GGA-PBE Na2PaCuF8, optimized geometry
# ΔE_f (raw): -2974 meV/atom
# Space group: P-1 (2)
data_Na2PaCuF8
_space_group_name_H-M_alt 'P 1'
_space_group_IT_number 1
_cell_length_a 3.996
_cell_length_b 5.434
_cell_length_c 8.489
_cell_angle_alpha 89.81
_cell_angle_beta 89.88
_cell_angle_gamma 87.36
loop_
_space_group_symop_operation_xyz
'x,y,z'
loop_
_atom_site_label
_atom_site_type_symbol
_atom_site_fract_x
_atom_site_fract_y
_atom_site_fract_z
_atom_site_occupancy
Na1 Na 0.001 0.499 0.203 1
Na2 Na 0.999 0.501 0.797 1
Pa1 Pa 0.500 0.000 0.500 1
Cu1 Cu 0.500 0.000 0.000 1
F1 F 0.004 0.226 0.498 1
F2 F 0.169 0.250 0.999 1
F3 F 0.484 0.756 0.698 1
F4 F 0.486 0.753 0.304 1
F5 F 0.514 0.247 0.696 1
F6 F 0.516 0.244 0.302 1
F7 F 0.831 0.750 0.001 1
F8 F 0.996 0.774 0.502 1

***

# GGA-PBE Cs2ErPbCl6, optimized geometry
# ΔE_f (raw): -1759 meV/atom
# Space group: Fm-3m (225)
data_Cs2ErPbCl6
_space_group_name_H-M_alt 'P 1'
_space_group_IT_number 1
_cell_length_a 8.058
_cell_length_b 8.058
_cell_length_c 8.058
_cell_angle_alpha 60.00
_cell_angle_beta 60.00
_cell_angle_gamma 60.00
loop_
_space_group_symop_operation_xyz
'x,y,z'
loop_
_atom_site_label
_atom_site_type_symbol
_atom_site_fract_x
_atom_site_fract_y
_atom_site_fract_z
_atom_site_occupancy
Cs1 Cs 0.250 0.250 0.250 1
Cs2 Cs 0.750 0.750 0.750 1
Er1 Er 0.000 0.000 0.000 1
Pb1 Pb 0.500 0.500 0.500 1
Cl1 Cl 0.231 0.231 0.769 1
Cl2 Cl 0.231 0.769 0.231 1
Cl3 Cl 0.231 0.769 0.769 1
Cl4 Cl 0.769 0.231 0.231 1
Cl5 Cl 0.769 0.231 0.769 1
Cl6 Cl 0.769 0.769 0.231 1

***

| no. | spin magnetization (μB/f.u.) | calculated volume (A^3/atom) |
| --- | --- | --- |
| 1 | 0.001 | 26.508 |
| 2 | 0.000 | 13.164 |
| 3 | 1.217 | 16.570 |
| 4 | 0.473 | 31.283 |
| 5 | 0.000 | 33.106 |
| 6 | 0.000 | 30.754 |
| 7 | 0.000 | 26.301 |
| 8 | 1.050 | 21.661 |
| 9 | 0.000 | 36.134 |
| 10 | 0.000 | 23.444 |
| 11 | 0.407 | 15.343 |
| 12 | 1.003 | 36.994 |